Entry from the Open Quantum Materials Database: an optimized crystal structure of SrHoAuSe3 (PBE).

Results
The calculation puts the final energy at -4.767 eV/atom. Its space-group type is C2/m. The total moment comes out at 0.00 μB/cell. The calculated volume comes out at 155 Å³/f.u.

The structure in POSCAR format:
```
SrHoAuSe3
1.0
9.159 -2.038 0.000
9.159 2.038 0.000
-1.646 0.000 8.305
Au Ho Se Sr
2 2 6 2
direct
0.455 0.455 0.285 Au
0.545 0.545 0.715 Au
0.836 0.836 0.407 Ho
0.164 0.164 0.593 Ho
0.500 0.500 0.000 Se
0.312 0.312 0.161 Se
0.675 0.675 0.363 Se
0.000 0.000 0.500 Se
0.325 0.325 0.637 Se
0.688 0.688 0.839 Se
0.128 0.128 0.079 Sr
0.872 0.872 0.921 Sr
```